(1)
DFT (SCAN) results for a PBEsol-optimized structure of Mg5Zn.

Output
The calculated volume is 126 Å³ per cell. The final energy is -38.4 eV/cell. Its energy relative to the elements is 3 meV per atom. For the size of the total moment, the calculation gives 0.000 μB/f.u.

a b c (Å): 3.1465 3.1465 14.6655
angles (deg): 90.00 90.00 120.00
Closest atoms and distances in Å follow each position.
Fractional coordinates of all 6 atoms:
Zn 0.3333 0.6667 0.0000  6 Mg 2.83, 6 Zn 3.15
Mg 0.3333 0.6667 0.6753  12 Mg 3.15-3.16
Mg 0.3333 0.6667 0.3247  12 Mg 3.15-3.16
Mg 0.0000 0.0000 0.5000  12 Mg 3.15
Mg 0.0000 0.0000 0.8516  3 Zn 2.83, 9 Mg 3.15-3.16
Mg 0.0000 0.0000 0.1484  3 Zn 2.83, 9 Mg 3.15-3.16

---

(2)
DFT (SCAN) results for a PBEsol-optimized structure of TaTiAlC.

Output
The calculated volume is 111 Å³ per cell. The final energy is -206.3 eV/cell. Its energy relative to the elements is -675 meV per atom. For the size of the total moment, the calculation gives 0.000 μB/f.u.

a b c (Å): 3.0559 3.0559 13.7577
angles (deg): 90.00 90.00 120.00
Closest atoms and distances in Å follow each position.
Fractional coordinates of all 8 atoms:
Ti 0.6667 0.3333 0.9175  3 C 2.10
Ta 0.6667 0.3333 0.5907  3 C 2.16
Al 0.3333 0.6667 0.7545  3 Ti 2.85, 3 Ta 2.86, 6 Al 3.06
Al 0.6667 0.3333 0.2455  3 Ti 2.85, 3 Ta 2.86, 6 Al 3.06
C 0.0000 0.0000 0.0000  6 Ti 2.10
C 0.0000 0.0000 0.5000  6 Ta 2.16
Ti 0.3333 0.6667 0.0825  3 C 2.10
Ta 0.3333 0.6667 0.4093  3 C 2.16

---

(3)
DFT (SCAN) results for a PBEsol-optimized structure of RuPb2Cl.

Output
The calculated volume is 90 Å³ per cell. The final energy is -193.1 eV/cell. The calculation puts the energy relative to the lowest polymorph listed for this composition at 0.67 eV/f.u. The value obtained for the uncorrected formation energy is 0.321 eV per atom. For the size of the total moment, the calculation gives 0.008 μB/f.u.

a b c (Å): 3.2927 3.2678 9.6383
angles (deg): 90.00 90.00 120.25
Closest atoms and distances in Å follow each position.
Fractional coordinates of all 4 atoms:
Pb 0.0000 0.0000 0.9881  8 Pb 3.27-3.36, 2 Cl 3.27
Ru 0.0000 0.0000 0.5246  2 Cl 2.33
Cl 0.5000 0.0000 0.6952  2 Ru 2.33
Pb 0.5000 0.0000 0.2922  2 Ru 2.78

---

(4)
DFT (SCAN) results for a PBEsol-optimized structure of CrRe3.

Output
The calculated volume is 56 Å³ per cell. The final energy is -231.2 eV/cell. Its energy relative to the elements is 108 meV per atom. For the size of the total moment, the calculation gives 0.000 μB/f.u.

a b c (Å): 3.8272 3.8272 4.6687
angles (deg): 114.20 114.20 90.00
Closest atoms and distances in Å follow each position.
Fractional coordinates of all 4 atoms:
Re 0.2500 0.7500 0.5000  4 Cr 2.70, 8 Re 2.70-2.71
Cr 0.0000 0.0000 0.0000  12 Re 2.70-2.71
Re 0.5000 0.5000 0.0000  8 Re 2.70, 4 Cr 2.71
Re 0.7500 0.2500 0.5000  4 Cr 2.70, 8 Re 2.70-2.71

---

(5)
DFT (SCAN) results for a PBEsol-optimized structure of CsAsPBr2.

Output
The calculated volume is 145 Å³ per cell. The final energy is -109.2 eV/cell. The value obtained for the uncorrected formation energy is -0.367 eV per atom. For the size of the total moment, the calculation gives 0.865 μB/f.u.

a b c (Å): 4.7510 5.5290 5.5290
angles (deg): 90.00 90.00 90.00
Closest atoms and distances in Å follow each position.
Fractional coordinates of all 5 atoms:
As 0.5000 0.0000 0.0000  2 P 2.38
Br 0.0000 0.5000 0.0000  2 P 2.76
Br 0.0000 0.0000 0.5000  2 P 2.76
Cs 0.5000 0.5000 0.5000  8 Br 3.64, 4 As 3.91
P 0.0000 0.0000 0.0000  2 As 2.38

---

(6)
DFT (SCAN) results for a PBEsol-optimized structure of TlSbI2.

Output
The calculated volume is 328 Å³ per cell. The final energy is -365.8 eV/cell. The value obtained for the uncorrected formation energy is 0.053 eV per atom. For the size of the total moment, the calculation gives 0.000 μB/f.u.

a b c (Å): 5.7554 5.7554 10.6936
angles (deg): 105.61 105.61 90.00
Closest atoms and distances in Å follow each position.
Fractional coordinates of all 8 atoms:
I 0.4143 0.8750 0.2500  2 Sb 3.11, 2 Tl 3.31
I 0.1250 0.1643 0.7500  2 Sb 3.11, 2 Tl 3.31
Tl 0.0000 0.0000 0.0000  4 I 3.31
Sb 0.5000 0.5000 0.0000  4 I 3.11
I 0.8357 0.3750 0.2500  2 Sb 3.11, 2 Tl 3.31
Sb 0.7500 0.2500 0.5000  4 I 3.11
Tl 0.2500 0.7500 0.5000  4 I 3.31
I 0.6250 0.5857 0.7500  2 Sb 3.11, 2 Tl 3.31

---

(7)
DFT (SCAN) results for a PBEsol-optimized structure of BaTa2As.

Output
The calculated volume is 89 Å³ per cell. The final energy is -191.2 eV/cell. Its energy relative to the elements is 419 meV per atom. For the size of the total moment, the calculation gives 0.000 μB/f.u.

a b c (Å): 3.4520 3.4520 7.4769
angles (deg): 90.00 90.00 90.00
Closest atoms and distances in Å follow each position.
Fractional coordinates of all 4 atoms:
Ba 0.5000 0.5000 0.5000  4 Ba 3.45, 8 Ta 3.49, 2 As 3.74
Ta 0.0000 0.0000 0.1659  1 Ta 2.48, 4 As 2.74
Ta 0.0000 0.0000 0.8341  1 Ta 2.48, 4 As 2.74
As 0.5000 0.5000 0.0000  8 Ta 2.74

---

(8)
DFT (SCAN) results for a PBEsol-optimized structure of PbC.

Output
The calculated volume is 79 Å³ per cell. The final energy is -166.9 eV/cell. The calculation puts the energy relative to the lowest polymorph listed for this composition at 0.68 eV/f.u. Its energy relative to the elements is 1223 meV per atom. For the size of the total moment, the calculation gives 0.000 μB/f.u.

a b c (Å): 2.8621 2.8621 11.1937
angles (deg): 82.65 82.65 60.00
Closest atoms and distances in Å follow each position.
Fractional coordinates of all 4 atoms:
C 0.6667 0.6667 0.0000  3 C 1.65
Pb 0.8885 0.8885 0.3346  6 Pb 2.86
C 0.3333 0.3333 0.0000  3 C 1.65
Pb 0.1115 0.1115 0.6654  6 Pb 2.86